Record 1
A geometry-optimized Ni2Os3 structure. Source: the Alexandria database, functional PBE-GGA.

Its energy above the most stable polymorph in this dataset is 0.0 meV/atom. The value obtained for the total energy is -8.85 eV per atom. The value obtained for the formation enthalpy at 0 K is 202 meV per atom. The density of states at the Fermi level comes out at 1.775 states/eV per atom. Its crystal system is trigonal.

The space group is R-3m (No. 166, hexagonal axes) and the conventional cell measures 2.6810, 2.6810 and 32.0125 Å, with angles of 90.00, 90.00 and 120.00 degrees. The asymmetric unit holds Ni at (0.0000, 0.0000, 0.1010), Os at (0.0000, 0.0000, 0.2995) and Os at (0.0000, 0.0000, 0.5000).

---

Record 2
A geometry-optimized YTm2Sc3 structure. Source: the Alexandria database, functional PBE-GGA.

Its energy above the most stable polymorph in this dataset is 170.4 meV/atom. The value obtained for the total energy is -5.51 eV per atom. The value obtained for the formation enthalpy at 0 K is 228 meV per atom. The density of states at the Fermi level comes out at 2.323 states/eV per atom. Its crystal system is trigonal.

The space group is P-3m1 (No. 164) and the conventional cell measures 6.2981, 6.2981 and 10.1824 Å, with angles of 90.00, 90.00 and 120.00 degrees. The asymmetric unit holds Y at (0.3333, 0.6667, 0.4374), Tm at (0.0000, 0.0000, 0.0000), Tm at (0.0000, 0.0000, 0.5000), Tm at (0.3333, 0.6667, 0.0614) and Sc at (0.1714, 0.3428, 0.7516).

---

Record 3
A geometry-optimized Tc5P4 structure. Source: the Alexandria database, functional PBE-GGA.

Its energy above the most stable polymorph in this dataset is 0.0 meV/atom. The value obtained for the total energy is -8.37 eV per atom. The value obtained for the formation enthalpy at 0 K is -211 meV per atom. The density of states at the Fermi level comes out at 1.109 states/eV per atom. Its crystal system is hexagonal.

The space group is P6_3/mcm (No. 193) and the conventional cell measures 6.7639, 6.7639 and 6.3976 Å, with angles of 90.00, 90.00 and 120.00 degrees. The asymmetric unit holds Tc at (0.0000, 0.2521, 0.2500), Tc at (0.3333, 0.6667, 0.0000), P at (0.0000, 0.0000, 0.0000) and P at (0.0000, 0.4127, 0.7500).

---

Record 4
A geometry-optimized Er4MgRu2Rh structure. Source: the Alexandria database, functional PBE-GGA.

The value obtained for the total energy is -6.22 eV per atom. The value obtained for the formation enthalpy at 0 K is -497 meV per atom. The density of states at the Fermi level comes out at 0.447 states/eV per atom. Its crystal system is trigonal.

The space group is R-3m (No. 166, hexagonal axes) and the conventional cell measures 4.8544, 4.8544 and 24.0300 Å, with angles of 90.00, 90.00 and 120.00 degrees. The asymmetric unit holds Er at (0.0000, 0.0000, 0.1194), Er at (0.0000, 0.0000, 0.3711), Mg at (0.0000, 0.0000, 0.5000), Ru at (0.0000, 0.0000, 0.2475) and Rh at (0.0000, 0.0000, 0.0000).

---

Q: Look up the total energy of the second one.
A: -5.51 eV per atom

---

Q: What is the formation enthalpy at 0 K in the second record?
A: 228 meV per atom